Record 1
VASP calculation (PBE) on an optimized crystal structure of Ho4Ga.

abc: 7.2368 7.2368 7.4748
angles: 104.65 104.65 118.52
Fractional positions:
Ho  0.6339  0.4827  0.7642
Ho  0.7185  0.8697  0.2358
Ho  0.7871  0.0369  0.8543
Ho  0.1827  0.9328  0.1457
Ho  0.2869  0.5371  0.3543
Ho  0.1828  0.9327  0.6457
Ho  0.1197  0.4685  0.7358
Ho  0.7327  0.3839  0.2642
Ga  0.3298  0.3298  0.0000
Ga  0.5798  0.0798  0.5000

## Properties
Raw total energy = -21.8 eV/f.u.
Symmetry = Fdd2, No. 43
Distance to the lowest polymorph of the same formula = 0.0 kJ/mol of atoms
Size of the total moment = 0.000 μB/atom

Record 2
VASP calculation (PBE) on an optimized crystal structure of Ho4Ga3.

abc: 6.3467 8.0627 8.0627
angles: 113.37 105.21 105.21
Fractional positions:
Ho  0.5000  0.0000  0.0000
Ho  0.0000  0.0000  0.0000
Ho  0.9212  0.6910  0.5440
Ho  0.3772  0.4560  0.1470
Ho  0.2302  0.8530  0.3090
Ho  0.0788  0.3090  0.4560
Ho  0.6228  0.5440  0.8530
Ho  0.7698  0.1470  0.6910
Ga  0.1234  0.6048  0.8744
Ga  0.2491  0.1256  0.7304
Ga  0.5187  0.2696  0.3952
Ga  0.8766  0.3952  0.1256
Ga  0.7509  0.8744  0.2696
Ga  0.4813  0.7304  0.6048

## Properties
Raw total energy = -30.7 eV/f.u.
Symmetry = R-3, No. 148
Size of the total moment = 0.000 μB/atom

Record 3
VASP calculation (PBE) on an optimized crystal structure of Ho5Ga3.

abc: 5.9002 8.7300 8.7300
angles: 83.44 70.25 70.25
Fractional positions:
Ho  0.2500  0.5000  0.5000
Ho  0.7500  0.5000  0.5000
Ho  0.9155  0.8709  0.2981
Ho  0.0845  0.1291  0.7019
Ho  0.4155  0.2981  0.8709
Ho  0.5845  0.7019  0.1291
Ho  0.7136  0.8709  0.7019
Ho  0.2864  0.1291  0.2981
Ho  0.7864  0.2981  0.1291
Ho  0.2136  0.7019  0.8709
Ga  0.2500  0.0000  0.0000
Ga  0.7500  0.0000  0.0000
Ga  0.8405  0.5000  0.8190
Ga  0.1595  0.5000  0.1810
Ga  0.3405  0.8190  0.5000
Ga  0.6595  0.1810  0.5000

## Properties
Raw total energy = -35.9 eV/f.u.
Symmetry = I4/mcm, No. 140
Distance to the lowest polymorph of the same formula = 1.2 kJ/mol of atoms
Size of the total moment = 0.000 μB/atom

Record 4
VASP calculation (PBE) on an optimized crystal structure of Ho3Ga.

abc: 4.5966 4.5966 5.8950
angles: 112.95 112.95 90.00
Fractional positions:
Ho  0.7500  0.2500  0.5000
Ho  0.2500  0.7500  0.5000
Ho  0.5000  0.5000  0.0000
Ga  0.0000  0.0000  0.0000

## Properties
Raw total energy = -17.6 eV/f.u.
Symmetry = I4/mmm, No. 139
Size of the total moment = 0.000 μB/atom

Record 5
VASP calculation (PBE) on an optimized crystal structure of HoGa3.

abc: 12.3452 12.3452 12.3452
angles: 28.76 28.76 28.76
Fractional positions:
Ho  0.1298  0.1298  0.1298
Ho  0.8702  0.8702  0.8702
Ho  0.4003  0.4003  0.4003
Ho  0.5997  0.5997  0.5997
Ho  0.0000  0.0000  0.0000
Ga  0.4380  0.8800  0.8800
Ga  0.8800  0.8800  0.4380
Ga  0.8800  0.4380  0.8800
Ga  0.1200  0.5620  0.1200
Ga  0.1200  0.1200  0.5620
Ga  0.5620  0.1200  0.1200
Ga  0.1314  0.6360  0.6360
Ga  0.6360  0.6360  0.1314
Ga  0.6360  0.1314  0.6360
Ga  0.3640  0.8686  0.3640
Ga  0.3640  0.3640  0.8686
Ga  0.8686  0.3640  0.3640
Ga  0.5000  0.5000  0.0000
Ga  0.5000  0.0000  0.5000
Ga  0.0000  0.5000  0.5000

## Properties
Raw total energy = -15.8 eV/f.u.
Symmetry = R-3m, No. 166
Size of the total moment = 0.000 μB/atom

Record 6
VASP calculation (PBE) on an optimized crystal structure of Ho2Ga13.

abc: 7.2476 7.2476 8.2629
angles: 63.99 63.99 60.00
Fractional positions:
Ho  0.2648  0.2648  0.2057
Ho  0.7352  0.7352  0.7943
Ga  0.5000  0.5000  0.5000
Ga  0.6480  0.2409  0.8702
Ga  0.2409  0.2409  0.8702
Ga  0.2409  0.6480  0.8702
Ga  0.7591  0.3520  0.1298
Ga  0.3520  0.7591  0.1298
Ga  0.7591  0.7591  0.1298
Ga  0.6480  0.0011  0.3498
Ga  0.0011  0.0011  0.3498
Ga  0.0011  0.6480  0.3498
Ga  0.9989  0.3520  0.6502
Ga  0.3520  0.9989  0.6502
Ga  0.9989  0.9989  0.6502

## Properties
Raw total energy = -50.4 eV/f.u.
Symmetry = R-3m, No. 166
Size of the total moment = 0.000 μB/atom

Record 7
VASP calculation (PBE) on an optimized crystal structure of Ho5Ga3.

abc: 8.5542 8.5542 6.4991
angles: 90.00 90.00 120.00
Fractional positions:
Ho  0.7571  0.7571  0.2500
Ho  0.0000  0.2429  0.2500
Ho  0.3333  0.6667  0.0000
Ho  0.2429  0.2429  0.7500
Ho  0.7571  0.0000  0.7500
Ho  0.2429  0.0000  0.2500
Ho  0.6667  0.3333  0.0000
Ho  0.0000  0.7571  0.7500
Ho  0.3333  0.6667  0.5000
Ho  0.6667  0.3333  0.5000
Ga  0.0000  0.4018  0.7500
Ga  0.5982  0.0000  0.2500
Ga  0.5982  0.5982  0.7500
Ga  0.4018  0.0000  0.7500
Ga  0.0000  0.5982  0.2500
Ga  0.4018  0.4018  0.2500

## Properties
Raw total energy = -35.8 eV/f.u.
Symmetry = P6_3/mcm, No. 193
Distance to the lowest polymorph of the same formula = 2.2 kJ/mol of atoms
Size of the total moment = 0.000 μB/atom

Record 8
VASP calculation (PBE) on an optimized crystal structure of HoGa3.

abc: 6.2292 6.2292 4.5915
angles: 90.00 90.00 120.00
Fractional positions:
Ho  0.3333  0.6667  0.7500
Ho  0.6667  0.3333  0.2500
Ga  0.1479  0.2959  0.2500
Ga  0.7041  0.8521  0.2500
Ga  0.1479  0.8521  0.2500
Ga  0.8521  0.7041  0.7500
Ga  0.2959  0.1479  0.7500
Ga  0.8521  0.1479  0.7500

## Properties
Raw total energy = -15.7 eV/f.u.
Symmetry = P6_3/mmc, No. 194
Size of the total moment = 0.000 μB/atom

Q: Which value of raw total energy does entry 1 give?
A: -21.8 eV/f.u.

Q: Which of these has the highest raw total energy?
A: number 8